(1)
Material: ReAu2Cl
Method: DFT, PBE
State: relaxed

```
ReAu2Cl
1.0
5.200 0.000 0.000
0.000 5.200 0.000
0.000 0.000 2.709
Au Cl Re
2 1 1
direct
0.000 0.000 0.000
0.500 0.500 0.000
0.500 0.000 0.500
0.000 0.500 0.500
```

Computed properties:
Energy above the most stable polymorph in this dataset ... 218 kJ/mol of formula units
Magnetic moment ... 1.387 μB/f.u.
Formation energy without anion corrections ... 921 meV/atom

=====

(2)
Material: InPb2Cl
Method: DFT, PBE
State: relaxed

```
InPb2Cl
1.0
-0.602 4.466 -0.814
-3.790 -0.043 2.571
4.299 4.840 10.495
Pb Cl In
4 2 2
direct
0.629 0.125 0.250
0.121 0.625 0.250
0.375 0.371 0.750
0.875 0.879 0.750
0.500 0.500 0.000
0.250 0.750 0.500
0.000 0.000 0.000
0.750 0.250 0.500
```

Computed properties:
Energy above the most stable polymorph in this dataset ... 51 kJ/mol of formula units
Magnetic moment ... 0.000 μB/f.u.
Formation energy without anion corrections ... -179 meV/atom

=====

(3)
Material: K4ZnPb
Method: DFT, PBE
State: relaxed

```
K4ZnPb
1.0
0.117 -6.243 3.669
-5.977 -4.067 0.416
-0.349 -6.298 -3.558
K Zn Pb
4 1 1
direct
0.873 0.376 0.376
0.376 0.376 0.873
0.376 0.873 0.376
0.376 0.376 0.376
0.000 0.000 0.000
0.750 0.750 0.750
```

Computed properties:
Total DFT energy (no corrections) ... -7.49 eV/f.u.
Magnetic moment ... 0.001 μB/f.u.

=====

(4)
Material: KEuAgHg
Method: DFT, PBE
State: relaxed

```
KEuAgHg
1.0
5.615 0.000 0.000
2.808 4.863 0.000
2.808 1.621 4.585
Eu K Hg Ag
1 1 1 1
direct
0.750 0.750 0.750
0.250 0.250 0.250
0.000 0.000 0.000
0.500 0.500 0.500
```

Computed properties:
Total DFT energy (no corrections) ... -15.11 eV/f.u.
Magnetic moment ... 7.712 μB/f.u.

=====

(5)
Material: CaSN2O
Method: DFT, PBE
State: relaxed

```
CaSN2O
1.0
-1.700 -0.699 4.407
3.241 -3.435 0.705
2.829 2.991 1.566
Ca S O N
1 1 1 2
direct
0.000 0.000 0.000
0.500 0.500 0.500
0.000 0.000 0.500
0.000 0.500 0.000
0.500 0.000 0.000
```

Computed properties:
Magnetic moment ... 2.087 μB/f.u.
Formation energy without anion corrections ... 1660 meV/atom

=====

(6)
Material: Sr2ScAl
Method: DFT, PBE
State: relaxed

```
Sr2ScAl
1.0
-0.531 5.169 4.766
-2.106 2.132 6.383
4.193 -0.023 4.042
Sc Sr Al
1 2 1
direct
0.197 0.197 0.303
0.993 0.993 0.007
0.789 0.789 0.711
0.522 0.522 0.479
```

Computed properties:
Total DFT energy (no corrections) ... -13.21 eV/f.u.
Magnetic moment ... 0.120 μB/f.u.

=====

(7)
Material: Sc5Zn12Ni2
Method: DFT, PBE
State: relaxed

```
Sc5Zn12Ni2
1.0
-2.440 -0.749 -6.575
-6.538 2.276 2.168
-1.568 7.055 0.002
Sc Zn Ni
5 12 2
direct
0.510 0.717 0.565
0.993 0.681 0.639
0.500 0.000 0.000
0.007 0.319 0.361
0.490 0.283 0.435
0.030 0.093 0.813
0.739 0.340 0.717
0.739 0.944 0.717
0.273 0.368 0.709
0.273 0.924 0.709
0.698 0.498 0.003
0.302 0.502 0.997
0.727 0.632 0.291
0.727 0.076 0.291
0.261 0.660 0.283
0.261 0.056 0.283
0.970 0.907 0.187
0.000 0.695 0.000
0.000 0.305 0.000
```

Computed properties:
Total DFT energy (no corrections) ... -63.09 eV/f.u.
Magnetic moment ... 0.000 μB/f.u.

=====

(8)
Material: KTa2Co
Method: DFT, PBE
State: relaxed

```
KTa2Co
1.0
-1.814 -3.893 -3.269
-0.450 -1.256 6.064
-2.558 0.590 0.443
Co K Ta
1 1 2
direct
0.000 0.500 0.500
0.500 0.500 0.000
0.000 0.000 0.000
0.500 0.000 0.500
```

Computed properties:
Energy above the most stable polymorph in this dataset ... 286 kJ/mol of formula units
Magnetic moment ... 1.363 μB/f.u.

=====

(9)
Material: In2GaAuBr
Method: DFT, PBE
State: relaxed

```
In2GaAuBr
1.0
5.490 0.000 0.000
0.000 5.490 0.000
0.000 0.000 5.018
Au Ga Br In
1 1 1 2
direct
0.000 0.000 0.000
0.000 0.000 0.500
0.500 0.500 0.500
0.000 0.500 0.000
0.500 0.000 0.000
```

Computed properties:
Magnetic moment ... 0.000 μB/f.u.
Formation energy without anion corrections ... -229 meV/atom

=====

(10)
Material: TaTeAs
Method: DFT, PBE
State: relaxed

```
TaTeAs
1.0
-6.308 -3.211 3.361
-5.316 -5.321 1.242
0.937 -0.890 2.872
As Te Ta
1 1 1
direct
0.967 0.967 0.033
0.692 0.692 0.308
0.341 0.341 0.659
```

Computed properties:
Magnetic moment ... 0.000 μB/f.u.
Formation energy without anion corrections ... 51 meV/atom

=====

(11)
Material: Pm5Sm3Ho4
Method: DFT, PBE
State: relaxed

```
Pm5Sm3Ho4
1.0
-0.556 -6.045 3.871
7.986 3.025 -7.541
-4.660 -0.393 12.118
Pm Sm Ho
5 3 4
direct
0.335 0.667 0.832
0.500 0.000 0.500
0.749 0.501 0.001
0.251 0.499 0.999
0.665 0.333 0.168
0.587 0.169 0.334
0.000 0.000 0.500
0.413 0.831 0.666
0.917 0.832 0.667
0.836 0.669 0.834
0.164 0.331 0.166
0.083 0.168 0.333
```

Computed properties:
Energy above the most stable polymorph in this dataset ... 0 kJ/mol of formula units
Magnetic moment ... 0.000 μB/f.u.

=====

(12)
Material: Nd6DyHo4
Method: DFT, PBE
State: relaxed

```
Nd6DyHo4
1.0
6.750 0.000 0.000
0.000 6.750 0.000
-3.375 -3.375 8.380
Nd Dy Ho
6 1 4
direct
0.868 0.486 0.354
0.486 0.868 0.354
0.514 0.514 0.646
0.000 0.500 0.000
0.132 0.132 0.646
0.500 0.000 0.000
0.500 0.500 0.000
0.057 0.703 0.760
0.943 0.943 0.240
0.703 0.057 0.760
0.297 0.297 0.240
```

Computed properties:
Total DFT energy (no corrections) ... -48.20 eV/f.u.
Magnetic moment ... 0.000 μB/f.u.

=====

Copy entry 3 word for word.
Material: K4ZnPb
Method: DFT, PBE
State: relaxed

```
K4ZnPb
1.0
0.117 -6.243 3.669
-5.977 -4.067 0.416
-0.349 -6.298 -3.558
K Zn Pb
4 1 1
direct
0.873 0.376 0.376
0.376 0.376 0.873
0.376 0.873 0.376
0.376 0.376 0.376
0.000 0.000 0.000
0.750 0.750 0.750
```

Computed properties:
Total DFT energy (no corrections) ... -7.49 eV/f.u.
Magnetic moment ... 0.001 μB/f.u.

=====

Look up the magnetic moment of the seventh one. 0.000 μB/f.u.